# VHgH2F | the Alexandria database | PBE+U | relaxed
data_VHgH2F
_space_group_name_H-M_alt 'P 1'
_space_group_IT_number 1
_cell_length_a 3.8793
_cell_length_b 3.8793
_cell_length_c 5.2110
_cell_angle_alpha 90.00
_cell_angle_beta 90.00
_cell_angle_gamma 90.00
loop_
_space_group_symop_operation_xyz
'x,y,z'
loop_
_atom_site_label
_atom_site_type_symbol
_atom_site_fract_x
_atom_site_fract_y
_atom_site_fract_z
V1 V 0.0000 0.0000 0.0000
Hg1 Hg 0.5000 0.5000 0.0000
H1 H 0.0000 0.5000 0.5000
H2 H 0.5000 0.0000 0.5000
F1 F 0.5000 0.5000 0.5000
# Electronic total energy   -2.28 eV/atom